# 1
Density functional theory data (PBE-GGA) for a relaxed structure of ZnC.

a = 3.7895 Å, b = 3.7895 Å, c = 3.5797 Å
α = 90.00°, β = 90.00°, γ = 90.00°
Closest atoms and distances in Å follow each position.
Space group P4/nmm (No. 129, origin choice 2)
One atom of each set of equivalent atoms:
Zn 0.2500 0.2500 0.2412  4 C 2.08
C 0.2500 0.7500 0.0000  4 Zn 2.08

---

# 2
Density functional theory data (PBE-GGA) for a relaxed structure of Zn2C.

a = 6.8961 Å, b = 6.8961 Å, c = 6.8961 Å
α = 90.00°, β = 90.00°, γ = 90.00°
Closest atoms and distances in Å follow each position.
Space group Fd-3m (No. 227, origin choice 2)
One atom of each set of equivalent atoms:
Zn 0.0000 0.0000 0.0000  6 Zn 2.44
C 0.1250 0.1250 0.6250  12 Zn 2.86, 4 C 2.99

---

# 3
Density functional theory data (PBE-GGA) for a relaxed structure of ZnC2.

a = 2.4775 Å, b = 2.4775 Å, c = 25.6922 Å
α = 90.00°, β = 90.00°, γ = 120.00°
Closest atoms and distances in Å follow each position.
Space group R3m (No. 160, hexagonal axes)
One atom of each set of equivalent atoms:
Zn 0.0000 0.0000 0.0000  6 Zn 2.48
C 0.0000 0.0000 0.1613  3 C 1.43
C 0.0000 0.0000 0.4946  3 C 1.43

---

# 4
Density functional theory data (PBE-GGA) for a relaxed structure of ZnC.

a = 5.6637 Å, b = 5.6637 Å, c = 5.6637 Å
α = 90.00°, β = 90.00°, γ = 90.00°
Closest atoms and distances in Å follow each position.
Space group Fd-3m (No. 227, origin choice 2)
One atom of each set of equivalent atoms:
Zn 0.1250 0.1250 0.1250  4 Zn 2.45, 4 C 2.45
C 0.1250 0.1250 0.6250  4 C 2.45, 4 Zn 2.45

---

no.,relative energy among the computed polymorphs (eV/f.u.)
1,3.53
2,3.48
3,0.01
4,4.41